Record 1
A relaxed structure of Hf3Cu3N, computed with PBE.

POSCAR file:
```
Hf3Cu3N
1.0
0.000 5.897 5.897
5.897 0.000 5.897
5.897 5.897 0.000
Hf Cu N
12 12 4
Direct
0.065 0.065 0.685
0.065 0.685 0.065
0.065 0.685 0.685
0.315 0.315 0.935
0.315 0.935 0.315
0.315 0.935 0.935
0.685 0.065 0.065
0.685 0.065 0.685
0.685 0.685 0.065
0.935 0.315 0.315
0.935 0.315 0.935
0.935 0.935 0.315
0.000 0.500 0.500
0.292 0.292 0.292
0.292 0.292 0.623
0.292 0.623 0.292
0.377 0.708 0.708
0.500 0.000 0.500
0.500 0.500 0.000
0.500 0.500 0.500
0.623 0.292 0.292
0.708 0.377 0.708
0.708 0.708 0.377
0.708 0.708 0.708
0.000 0.000 0.000
0.000 0.000 0.500
0.000 0.500 0.000
0.500 0.000 0.000
```

Properties
Raw total energy (eV per formula unit): -55.1
Raw formation energy (eV/atom): -0.6613
Crystal system: cubic
N(E_F) (states/eV per cell): 14.26
Spin magnetization (Bohr magnetons per cell): 0.00

Record 2
A relaxed structure of Hf3Cu2N, computed with PBE.

POSCAR file:
```
Hf3Cu2N
1.0
2.182 -6.657 0.000
2.182 6.657 0.000
0.000 0.000 3.201
Hf Cu N
3 2 1
Direct
0.000 0.000 0.000
0.379 0.621 0.500
0.621 0.379 0.500
0.201 0.799 0.000
0.799 0.201 0.000
0.500 0.500 0.000
```

Properties
Raw total energy (eV per formula unit): -50.4
Raw formation energy (eV/atom): -0.6737
Crystal system: orthorhombic
N(E_F) (states/eV per cell): 3.40
Spin magnetization (Bohr magnetons per cell): 0.00

Record 3
A relaxed structure of Hf6Cu3N, computed with PBE.

POSCAR file:
```
Hf6Cu3N
1.0
5.733 0.000 0.000
0.000 6.925 0.000
-5.184 0.000 8.870
Hf Cu N
12 6 2
Direct
0.069 0.044 0.233
0.069 0.456 0.733
0.188 0.707 0.065
0.188 0.793 0.565
0.391 0.148 0.059
0.391 0.352 0.559
0.609 0.648 0.441
0.609 0.852 0.941
0.812 0.207 0.435
0.812 0.293 0.935
0.931 0.544 0.267
0.931 0.956 0.767
0.325 0.120 0.739
0.325 0.380 0.239
0.500 0.000 0.500
0.500 0.500 0.000
0.675 0.620 0.761
0.675 0.880 0.261
0.000 0.000 0.000
0.000 0.500 0.500
```

Properties
Raw total energy (eV per formula unit): -83.8
Raw formation energy (eV/atom): -0.3489
Crystal system: monoclinic
N(E_F) (states/eV per cell): 19.46
Spin magnetization (Bohr magnetons per cell): 0.00

Record 4
A relaxed structure of HfCuN2, computed with PBE.

POSCAR file:
```
HfCuN2
1.0
1.658 0.957 5.738
-1.658 0.957 5.738
0.000 -1.915 5.738
Hf Cu N
1 1 2
Direct
0.000 0.000 0.000
0.500 0.500 0.500
0.395 0.395 0.395
0.605 0.605 0.605
```

Properties
Raw total energy (eV per formula unit): -33.1
Raw formation energy (eV/atom): -0.6005
Crystal system: trigonal
N(E_F) (states/eV per cell): 5.30
Spin magnetization (Bohr magnetons per cell): 0.00

Question: What is the raw formation energy in the first record?
Answer: -0.6613 eV/atom

Question: What is the N(E_F) in the third record?
Answer: 19.46 states/eV per cell

Question: Which formula does entry 3 have?
Answer: Hf6Cu3N

Copy entry 2 word for word.
A relaxed structure of Hf3Cu2N, computed with PBE.

POSCAR file:
```
Hf3Cu2N
1.0
2.182 -6.657 0.000
2.182 6.657 0.000
0.000 0.000 3.201
Hf Cu N
3 2 1
Direct
0.000 0.000 0.000
0.379 0.621 0.500
0.621 0.379 0.500
0.201 0.799 0.000
0.799 0.201 0.000
0.500 0.500 0.000
```

Properties
Raw total energy (eV per formula unit): -50.4
Raw formation energy (eV/atom): -0.6737
Crystal system: orthorhombic
N(E_F) (states/eV per cell): 3.40
Spin magnetization (Bohr magnetons per cell): 0.00